Entry 1:
Material: Tb8Pm3Pr2
Method: DFT, GGA-PBE
State: optimized geometry

Lattice parameters (Å, degrees): 5.6206 6.9294 11.7227 79.07 76.20 90.00
Space group P-1 (No. 2)
One atom of each set of equivalent atoms:
Tb 0.0754 0.0934 0.3488
Tb 0.1760 0.7644 0.1478
Tb 0.3344 0.9823 0.8312
Tb 0.3774 0.5189 0.7452
Pm 0.0000 0.5000 0.5000
Pm 0.4868 0.2115 0.5261
Pr 0.2269 0.3081 0.0461

Calculated values
- Fermi-level density of states (states/eV/atom) = 1.555
- energy above the most stable polymorph in this dataset (eV/f.u.) = 0.000
- total energy (eV per atom) = -4.5974
- ΔE_f (kJ/mol of atoms) = 8.07

---

Entry 2:
Material: BaSn2PbAu
Method: DFT, GGA-PBE
State: optimized geometry

Lattice parameters (Å, degrees): 4.9430 5.3786 11.4936 90.00 90.00 90.00
Space group Imm2 (No. 44)
One atom of each set of equivalent atoms:
Ba 0.0000 0.0000 0.0000
Sn 0.0000 0.0000 0.4022
Sn 0.0000 0.5000 0.2596
Pb 0.0000 0.5000 0.7435
Au 0.0000 0.0000 0.6394

Calculated values
- Fermi-level density of states (states/eV/atom) = 0.353
- total energy (eV per atom) = -3.8517
- ΔE_f (kJ/mol of atoms) = -45.24

---

Entry 3:
Material: Nd8Se4S3N
Method: DFT, GGA-PBE
State: optimized geometry

Lattice parameters (Å, degrees): 8.1600 8.1600 20.4237 90.00 90.00 120.00
Space group R-3m (No. 166, hexagonal axes)
One atom of each set of equivalent atoms:
Nd 0.0000 0.0000 0.2433
Nd 0.0263 0.5132 0.2384
Se 0.0000 0.0000 0.0000
Se 0.0000 0.5000 0.0000
S 0.0000 0.5000 0.5000
N 0.0000 0.0000 0.5000

Calculated values
- Fermi-level density of states (states/eV/atom) = 0.312
- formation energy without anion corrections (eV/atom) = -1.85
- total energy (eV per atom) = -6.3965

---

Entry 4:
Material: HoNiPbAu
Method: DFT, GGA-PBE
State: optimized geometry

Lattice parameters (Å, degrees): 6.9141 6.9141 6.9141 90.00 90.00 90.00
Space group F-43m (No. 216)
One atom of each set of equivalent atoms:
Ho 0.0000 0.0000 0.0000
Ni 0.2500 0.2500 0.2500
Pb 0.0000 0.0000 0.5000
Au 0.2500 0.2500 0.7500

Calculated values
- Fermi-level density of states (states/eV/atom) = 0.664
- total energy (eV per atom) = -4.6771
- ΔE_f (kJ/mol of atoms) = -32.90

---

Entry 5:
Material: KBa3Ir2O9
Method: DFT, GGA-PBE
State: optimized geometry

Lattice parameters (Å, degrees): 5.9084 5.9084 7.8308 90.00 90.00 120.00
Space group P-3m1 (No. 164)
One atom of each set of equivalent atoms:
K 0.0000 0.0000 0.0000
Ba 0.0000 0.0000 0.5000
Ba 0.3333 0.6667 0.1979
Ir 0.3333 0.6667 0.6501
O 0.0000 0.5000 0.5000
O 0.1800 0.3599 0.7863

Calculated values
- Fermi-level density of states (states/eV/atom) = 0.706
- formation energy without anion corrections (eV/atom) = -1.65
- total energy (eV per atom) = -6.2670

---

Entry 6:
Material: BaCrSi2
Method: DFT, GGA-PBE
State: optimized geometry

Lattice parameters (Å, degrees): 7.1191 7.1191 7.1191 90.00 90.00 90.00
Space group F-43m (No. 216)
One atom of each set of equivalent atoms:
Ba 0.0000 0.0000 0.0000
Cr 0.2500 0.2500 0.2500
Si 0.0000 0.0000 0.5000
Si 0.2500 0.2500 0.7500

Calculated values
- Fermi-level density of states (states/eV/atom) = 0.486
- energy above the most stable polymorph in this dataset (eV/f.u.) = 3.198
- formation energy without anion corrections (eV/atom) = 0.67
- total energy (eV per atom) = -4.9330

---

Entry 7:
Material: BaHg2Os
Method: DFT, GGA-PBE
State: optimized geometry

Lattice parameters (Å, degrees): 5.2645 5.2645 18.5002 90.00 90.00 90.00
Space group I-42d (No. 122)
One atom of each set of equivalent atoms:
Ba 0.0000 0.0000 0.0000
Hg 0.0928 0.2500 0.6250
Os 0.0000 0.0000 0.5000

Calculated values
- Fermi-level density of states (states/eV/atom) = 1.272
- energy above the most stable polymorph in this dataset (eV/f.u.) = 0.671
- total energy (eV per atom) = -2.8907
- ΔE_f (kJ/mol of atoms) = 52.90

---

Entry 8:
Material: SrRe2W
Method: DFT, GGA-PBE
State: optimized geometry

Lattice parameters (Å, degrees): 4.6333 4.6333 6.5696 90.00 90.00 90.00
Space group I-4m2 (No. 119)
One atom of each set of equivalent atoms:
Sr 0.0000 0.0000 0.0000
Re 0.0000 0.0000 0.5000
Re 0.0000 0.5000 0.2500
W 0.0000 0.5000 0.7500

Calculated values
- Fermi-level density of states (states/eV/atom) = 0.802
- energy above the most stable polymorph in this dataset (eV/f.u.) = 1.532
- total energy (eV per atom) = -8.7720
- ΔE_f (kJ/mol of atoms) = 107.18

---

Entry 9:
Material: KTaO3
Method: DFT, GGA-PBE
State: optimized geometry

Lattice parameters (Å, degrees): 4.1010 4.1010 4.1010 90.00 90.00 90.00
Space group Pm-3m (No. 221)
One atom of each set of equivalent atoms:
K 0.0000 0.0000 0.0000
Ta 0.5000 0.5000 0.5000
O 0.0000 0.0000 0.5000

Calculated values
- Fermi-level density of states (states/eV/atom) = 1.527
- formation energy without anion corrections (eV/atom) = 1.17
- total energy (eV per atom) = -4.3936

---

Entry 10:
Material: LaNd2Ir
Method: DFT, GGA-PBE
State: optimized geometry

Lattice parameters (Å, degrees): 3.9292 3.9292 32.2929 90.00 90.00 120.00
Space group R-3m (No. 166, hexagonal axes)
One atom of each set of equivalent atoms:
La 0.0000 0.0000 0.0000
Nd 0.0000 0.0000 0.1149
Ir 0.0000 0.0000 0.5000

Calculated values
- Fermi-level density of states (states/eV/atom) = 1.445
- energy above the most stable polymorph in this dataset (eV/f.u.) = 1.395
- total energy (eV per atom) = -5.9490
- ΔE_f (kJ/mol of atoms) = -11.38

---

Entry 11:
Material: SrHoZn4
Method: DFT, GGA-PBE
State: optimized geometry

Lattice parameters (Å, degrees): 4.2271 4.2271 15.5463 90.00 90.00 90.00
Space group I-4m2 (No. 119)
One atom of each set of equivalent atoms:
Sr 0.0000 0.0000 0.0000
Ho 0.0000 0.5000 0.2500
Zn 0.0000 0.0000 0.4126
Zn 0.0000 0.5000 0.6714

Calculated values
- Fermi-level density of states (states/eV/atom) = 0.818
- energy above the most stable polymorph in this dataset (eV/f.u.) = 0.000
- total energy (eV per atom) = -2.1242
- ΔE_f (kJ/mol of atoms) = -22.35

---

Entry 12:
Material: CaLu3Pt
Method: DFT, GGA-PBE
State: optimized geometry

Lattice parameters (Å, degrees): 5.4198 5.4198 5.4198 90.00 90.00 90.00
Space group Pm-3m (No. 221)
One atom of each set of equivalent atoms:
Ca 0.0000 0.0000 0.0000
Lu 0.0000 0.5000 0.5000
Pt 0.5000 0.5000 0.5000

Calculated values
- Fermi-level density of states (states/eV/atom) = 1.568
- total energy (eV per atom) = -4.7412
- ΔE_f (kJ/mol of atoms) = -40.53

---

Entry 13:
Material: Sc2MnCdH
Method: DFT, GGA-PBE
State: optimized geometry

Lattice parameters (Å, degrees): 4.5859 4.5859 3.7817 90.00 90.00 90.00
Space group P4/mmm (No. 123)
One atom of each set of equivalent atoms:
Sc 0.0000 0.5000 0.0000
Mn 0.0000 0.0000 0.5000
Cd 0.5000 0.5000 0.5000
H 0.0000 0.0000 0.0000

Calculated values
- Fermi-level density of states (states/eV/atom) = 0.904
- total energy (eV per atom) = -5.3978